[1]
## MoRuCl (SCAN)

Data for MoRuCl at its PBEsol-relaxed geometry.

Geometry as extended XYZ:
```
3
Lattice="2.872 0.000 0.000 0.000 4.108 0.000 0.000 -2.054 3.558" Properties=species:S:1:pos:R:3 pbc="T T T"
Ru 0.829 2.054 1.186
Mo 2.273 0.000 2.372
Cl 2.643 0.000 0.000
```

Values from the calculation:
M_tot in μB/f.u.: 0.00
SG: P3m1 (156)



[2]
## MoRu2Cl (SCAN)

Data for MoRu2Cl at its PBEsol-relaxed geometry.

Geometry as extended XYZ:
```
4
Lattice="2.790 0.000 0.000 1.395 2.416 0.000 1.395 0.805 8.378" Properties=species:S:1:pos:R:3 pbc="T T T"
Ru 1.395 0.805 8.343
Ru 4.184 2.416 6.316
Mo 1.395 0.805 2.184
Cl 2.790 1.611 4.102
```

Values from the calculation:
Relative energy among the computed polymorphs in meV per atom: 0
M_tot in μB/f.u.: 0.00
SG: R3m (160)



| no. | uncorrected energy (eV/cell) |
| --- | --- |
| 1 | -76.15 |
| 2 | -111.21 |